PBE Ba5HoSe6, optimized geometry; D(E_F) = 0.211 states/eV per atom; space group = No. 12; uncorrected formation energy = -1.964 eV per atom
1.0
3.9864 -6.8909 0.0000
3.9864 6.8909 0.0000
-2.6692 0.0000 7.4879
Ba Ho Se
5 1 6
direct
0.0000 0.0000 0.0000 Ba
0.1656 0.8344 0.5000 Ba
0.3290 0.6710 0.0000 Ba
0.6710 0.3290 0.0000 Ba
0.8344 0.1656 0.5000 Ba
0.5000 0.5000 0.5000 Ho
0.1184 0.4233 0.2691 Se
0.2753 0.2753 0.7339 Se
0.4233 0.1184 0.2691 Se
0.5767 0.8816 0.7309 Se
0.7247 0.7247 0.2661 Se
0.8816 0.5767 0.7309 Se